Run w
VASP calculation (PBE) on Hf2MgZn2 after structural relaxation.

extended XYZ file:
```
10
Lattice="8.128 0.000 0.000 0.000 8.128 0.000 0.000 0.000 3.050" Properties=species:S:1:pos:R:3 pbc="T T T"
Zn 2.695 1.369 1.525
Hf 7.066 5.126 0.000
Hf 5.126 1.062 0.000
Zn 1.369 5.433 1.525
Mg 0.000 0.000 0.000
Hf 3.002 7.066 0.000
Mg 4.064 4.064 0.000
Zn 6.759 2.695 1.525
Hf 1.062 3.002 0.000
Zn 5.433 6.759 1.525
```

Output
**Space-group type**: P4/mbm

***

Run x
VASP calculation (PBE) on Hf2MgZn2 after structural relaxation.

extended XYZ file:
```
5
Lattice="-2.305 -2.171 -1.066 2.260 -1.408 -2.019 2.333 -7.561 5.122" Properties=species:S:1:pos:R:3 pbc="T T T"
Hf 0.517 -3.112 -0.016
Hf 1.771 -8.029 2.053
Mg 0.000 0.000 0.000
Zn 2.285 -5.379 0.781
Zn 0.003 -5.761 1.257
```

Output
**Space-group type**: I4/mmm

***

Winner for stability: run w

***

Run w
VASP calculation (PBE) on HfMg6Zn after structural relaxation.

extended XYZ file:
```
8
Lattice="3.572 0.673 5.249 -6.088 -1.898 0.324 1.440 -4.684 -0.380" Properties=species:S:1:pos:R:3 pbc="T T T"
Zn -3.618 -3.775 1.026
Mg -1.146 -0.724 4.585
Mg -0.708 -2.864 0.834
Hf -3.002 -1.077 1.898
Mg 1.956 0.242 4.425
Mg 0.132 -0.102 1.754
Mg -1.938 -3.463 3.559
Mg 1.142 -2.508 3.453
```

Output
**Space-group type**: Amm2

***

Run x
VASP calculation (PBE) on HfMg6Zn after structural relaxation.

extended XYZ file:
```
8
Lattice="4.580 4.149 -1.742 -5.496 1.728 2.834 2.132 -0.491 4.434" Properties=species:S:1:pos:R:3 pbc="T T T"
Mg 1.582 1.411 2.152
Mg -3.806 2.134 2.066
Zn 4.006 3.509 1.219
Mg -1.489 4.182 1.179
Hf -1.190 2.261 3.579
Mg -1.041 1.308 0.645
Mg 1.409 3.387 -0.302
Mg 1.126 4.334 2.695
```

Output
**Space-group type**: Amm2

***

Winner for stability: run w

***

Run w
VASP calculation (PBE) on Hf2MgZn6 after structural relaxation.

extended XYZ file:
```
9
Lattice="3.053 0.000 0.000 0.000 6.580 -3.799 0.000 0.000 7.598" Properties=species:S:1:pos:R:3 pbc="T T T"
Zn 1.527 0.000 5.057
Zn 1.527 2.201 1.271
Hf 3.053 4.387 0.000
Mg 0.000 0.000 7.598
Zn 1.527 0.000 2.541
Zn 1.527 2.201 -1.271
Zn 1.527 4.380 5.070
Hf 0.000 2.193 3.799
Zn 1.527 4.380 2.529
```

Output
**Space-group type**: P6/mmm

***

Run x
VASP calculation (PBE) on Hf2MgZn6 after structural relaxation.

extended XYZ file:
```
9
Lattice="5.754 -0.031 -0.018 0.023 5.502 0.004 0.023 2.745 4.769" Properties=species:S:1:pos:R:3 pbc="T T T"
Zn 1.959 5.491 1.706
Zn 3.841 4.001 0.844
Zn 3.835 1.456 0.842
Mg 0.000 0.000 0.000
Zn 1.966 6.760 3.912
Zn 3.841 2.725 3.049
Zn 1.959 4.214 3.911
Hf 5.075 5.469 3.165
Hf 0.726 2.746 1.589
```

Output
**Space-group type**: C2/m

***

Winner for stability: run w

***

Run w
VASP calculation (PBE) on HfMgZr after structural relaxation.

extended XYZ file:
```
6
Lattice="3.172 0.000 0.000 0.000 3.172 0.000 0.000 0.000 13.473" Properties=species:S:1:pos:R:3 pbc="T T T"
Hf 0.000 1.586 12.378
Zr 1.586 0.000 10.142
Zr 0.000 1.586 3.331
Mg 0.000 1.586 7.833
Hf 1.586 0.000 1.095
Mg 1.586 0.000 5.640
```

Output
**Space-group type**: P4/nmm

***

Run x
VASP calculation (PBE) on HfMgZr after structural relaxation.

extended XYZ file:
```
6
Lattice="-1.548 2.371 3.326 -4.062 -0.945 -1.216 -1.931 -6.371 3.645" Properties=species:S:1:pos:R:3 pbc="T T T"
Hf -5.619 -3.129 4.941
Hf -4.874 -2.556 2.011
Zr -2.814 -3.862 3.901
Mg -2.880 -0.016 1.127
Zr -3.617 -0.878 4.267
Mg -1.622 1.647 3.395
```

Output
**Space-group type**: Cmcm

***

Run y
VASP calculation (PBE) on HfMgZr after structural relaxation.

extended XYZ file:
```
3
Lattice="3.221 0.000 0.000 -1.611 2.790 0.000 0.000 0.000 7.752" Properties=species:S:1:pos:R:3 pbc="T T T"
Hf 1.611 0.930 2.656
Zr 0.000 1.860 5.081
Mg 0.000 0.000 0.014
```

Output
**Space-group type**: P3m1

***

Winner for stability: run w

***

Run w
VASP calculation (PBE) on HfMgZr6 after structural relaxation.

extended XYZ file:
```
8
Lattice="-1.391 -3.090 -2.976 -2.974 -1.560 3.010 -6.153 5.754 -3.097" Properties=species:S:1:pos:R:3 pbc="T T T"
Zr -6.090 3.524 -0.811
Zr -5.259 0.552 -1.532
Hf -3.077 2.877 -1.548
Zr -5.298 2.759 -3.805
Zr -3.037 0.670 0.725
Mg 0.000 0.000 0.000
Zr -2.183 -2.325 0.017
Zr -2.246 -0.095 -2.268
```

Output
**Space-group type**: P4/mmm

***

Run x
VASP calculation (PBE) on HfMgZr6 after structural relaxation.

extended XYZ file:
```
8
Lattice="-2.594 -0.952 -5.198 -1.163 -3.694 4.433 -1.088 7.891 2.408" Properties=species:S:1:pos:R:3 pbc="T T T"
Zr -2.448 2.600 3.912
Zr -2.877 -1.210 0.083
Zr -1.641 -0.805 2.823
Mg 0.000 0.000 0.000
Zr -1.968 4.454 1.560
Zr -3.204 4.049 -1.180
Hf -2.422 1.622 0.822
Zr -2.397 0.644 -2.269
```

Output
**Space-group type**: C2/m

***

Winner for stability: run w

***

Run w
VASP calculation (PBE) on HfMn6 after structural relaxation.

extended XYZ file:
```
28
Lattice="-4.576 0.816 0.491 -0.465 -5.764 5.241 1.888 6.310 7.107" Properties=species:S:1:pos:R:3 pbc="T T T"
Mn 0.565 5.681 6.944
Mn 0.115 3.096 7.045
Mn -3.261 2.582 9.231
Mn -0.928 0.357 1.878
Mn 0.505 3.979 9.211
Mn -0.305 0.669 7.166
Mn -3.718 -4.318 5.895
Mn -3.268 -1.733 5.794
Mn -0.774 -1.231 5.956
Mn -2.079 -2.999 7.267
Hf -1.376 -3.737 4.507
Mn -0.094 0.295 9.756
Mn -2.380 2.594 6.883
Mn -2.848 0.694 5.674
Mn -2.577 3.102 4.202
Hf -1.777 5.100 8.332
Hf -0.435 1.513 4.554
Mn 0.108 -1.219 3.608
Mn -2.225 1.006 10.961
Hf -2.718 -0.151 8.285
Mn 0.089 -3.386 7.034
Mn -0.576 -1.740 8.637
Mn -3.658 -2.616 3.628
Mn -3.242 4.748 5.805
Mn -1.092 2.195 8.998
Mn -3.060 1.068 3.083
Mn -2.061 -0.833 3.841
Mn -1.074 4.362 5.572
```

Output
**Space-group type**: Pnma

***

Run x
VASP calculation (PBE) on HfMn6 after structural relaxation.

extended XYZ file:
```
7
Lattice="-4.427 -0.585 2.633 2.464 -4.553 -0.271 3.011 3.452 2.427" Properties=species:S:1:pos:R:3 pbc="T T T"
Mn -1.336 -1.852 2.446
Mn 2.246 -1.835 1.668
Mn 0.660 1.158 3.069
Mn -1.199 0.149 3.120
Mn 0.387 -2.844 1.720
Mn 2.383 0.166 2.343
Hf 0.000 0.000 0.000
```

Output
**Space-group type**: Im-3m

***

Winner for stability: run w

***

Run w
VASP calculation (PBE) on Hf2MnMo after structural relaxation.

extended XYZ file:
```
8
Lattice="-2.320 5.232 -4.336 2.335 -3.689 -5.700 -2.531 -0.522 -5.221" Properties=species:S:1:pos:R:3 pbc="T T T"
Hf -1.923 1.019 -12.603
Mo -2.421 2.740 -7.287
Mn 0.008 0.771 -5.018
Hf 0.498 -1.696 -5.481
Mn -0.094 -1.720 -7.969
Hf -1.752 2.592 -4.656
Mo 0.000 0.000 0.000
Hf -1.854 0.126 -7.773
```

Output
**Space-group type**: I-42d

***

Run x
VASP calculation (PBE) on Hf2MnMo after structural relaxation.

extended XYZ file:
```
4
Lattice="3.240 0.000 0.000 0.000 3.240 0.000 0.000 0.000 6.571" Properties=species:S:1:pos:R:3 pbc="T T T"
Hf 0.000 0.000 4.995
Mn 1.620 1.620 0.000
Hf 0.000 0.000 1.576
Mo 1.620 1.620 3.285
```

Output
**Space-group type**: P4/mmm

***

Run y
VASP calculation (PBE) on Hf2MnMo after structural relaxation.

extended XYZ file:
```
4
Lattice="0.615 2.518 3.792 -3.496 2.414 1.746 -1.937 -1.297 3.958" Properties=species:S:1:pos:R:3 pbc="T T T"
Mo -2.409 1.818 4.748
Mn 0.000 0.000 0.000
Hf -3.613 2.726 7.122
Hf -1.204 0.909 2.374
```

Output
**Space-group type**: Fm-3m

***

Winner for stability: run x

***

Run w
VASP calculation (PBE) on HfMn3N after structural relaxation.

extended XYZ file:
```
5
Lattice="-4.051 -2.065 0.266 0.376 -0.154 4.536 -2.048 4.057 0.307" Properties=species:S:1:pos:R:3 pbc="T T T"
N -2.861 0.919 2.554
Hf 0.000 0.000 0.000
Mn -1.024 2.028 0.154
Mn -2.025 -1.032 0.133
Mn 0.188 -0.077 2.268
```

Output
**Space-group type**: Pm-3m

***

Run x
VASP calculation (PBE) on HfMn3N after structural relaxation.

extended XYZ file:
```
5
Lattice="3.863 0.000 0.000 0.000 3.863 0.000 0.000 0.000 3.863" Properties=species:S:1:pos:R:3 pbc="T T T"
Mn 1.931 0.000 0.000
Hf 1.931 1.931 1.931
Mn 0.000 0.000 1.931
Mn 0.000 1.931 0.000
N 0.000 0.000 0.000
```

Output
**Space-group type**: Pm-3m

***

Winner for stability: run x